# 1
Entry from Alexandria via LeMat-Bulk: a relaxed structure of Ni (PBE-GGA).

Summary:
Final energy ... -5.547 eV per atom
Energy of formation ... 0.234 eV per atom
Crystal system ... cubic
Magnetic moment ... 2.37 μB/cell
Excess energy over the best structure of this formula in the dataset ... 234 meV/atom

Unit cell a=4.5911 b=4.5909 c=4.5911 alpha=60.00 beta=60.00 gamma=60.00
Each line ends with the local moment (μB).
Fractional coordinates of all 6 atoms:
Ni1 0.1250 0.6250 0.6250  0.39
Ni2 0.6250 0.1250 0.6250  0.39
Ni3 0.6250 0.6250 0.6250  0.39
Ni4 0.6250 0.6250 0.1250  0.39
Ni5 0.2500 0.2500 0.2500  0.48
Ni6 0.0000 0.0000 0.0000  0.48

# 2
Entry from Alexandria via LeMat-Bulk: a relaxed structure of Ni (PBE-GGA).

Summary:
Final energy ... -5.368 eV per atom
Energy of formation ... 0.413 eV per atom
Crystal system ... tetragonal
Magnetic moment ... 10.36 μB/cell
Excess energy over the best structure of this formula in the dataset ... 413 meV/atom

Unit cell a=4.6546 b=4.6546 c=8.8047 alpha=90.00 beta=90.00 gamma=90.00
Each line ends with the local moment (μB).
Fractional coordinates of all 16 atoms:
Ni1 0.3254 0.3254 0.2500  0.68
Ni2 0.8254 0.6746 0.0000  0.68
Ni3 0.1746 0.3254 0.0000  0.68
Ni4 0.6746 0.6746 0.2500  0.68
Ni5 0.6746 0.8254 0.5000  0.68
Ni6 0.3254 0.1746 0.5000  0.68
Ni7 0.6746 0.1746 0.0000  0.68
Ni8 0.6746 0.3254 0.7500  0.68
Ni9 0.3254 0.6746 0.7500  0.68
Ni10 0.3254 0.8254 0.0000  0.68
Ni11 0.8254 0.3254 0.5000  0.68
Ni12 0.1746 0.6746 0.5000  0.68
Ni13 0.8254 0.8254 0.7500  0.68
Ni14 0.1746 0.1746 0.7500  0.68
Ni15 0.1746 0.8254 0.2500  0.68
Ni16 0.8254 0.1746 0.2500  0.68

# 3
Entry from Alexandria via LeMat-Bulk: a relaxed structure of Ni (PBE-GGA).

Summary:
Final energy ... -5.756 eV per atom
Energy of formation ... 0.026 eV per atom
Crystal system ... hexagonal
Magnetic moment ... 1.39 μB/cell
Excess energy over the best structure of this formula in the dataset ... 26 meV/atom

Unit cell a=2.4874 b=2.4874 c=4.0746 alpha=90.00 beta=90.00 gamma=120.00
Each line ends with the local moment (μB).
Fractional coordinates of all 2 atoms:
Ni1 0.0000 0.0000 0.0000  0.73
Ni2 0.6667 0.3333 0.5000  0.73

Repeat the second record exactly.
Entry from Alexandria via LeMat-Bulk: a relaxed structure of Ni (PBE-GGA).

Summary:
Final energy ... -5.368 eV per atom
Energy of formation ... 0.413 eV per atom
Crystal system ... tetragonal
Magnetic moment ... 10.36 μB/cell
Excess energy over the best structure of this formula in the dataset ... 413 meV/atom

Unit cell a=4.6546 b=4.6546 c=8.8047 alpha=90.00 beta=90.00 gamma=90.00
Each line ends with the local moment (μB).
Fractional coordinates of all 16 atoms:
Ni1 0.3254 0.3254 0.2500  0.68
Ni2 0.8254 0.6746 0.0000  0.68
Ni3 0.1746 0.3254 0.0000  0.68
Ni4 0.6746 0.6746 0.2500  0.68
Ni5 0.6746 0.8254 0.5000  0.68
Ni6 0.3254 0.1746 0.5000  0.68
Ni7 0.6746 0.1746 0.0000  0.68
Ni8 0.6746 0.3254 0.7500  0.68
Ni9 0.3254 0.6746 0.7500  0.68
Ni10 0.3254 0.8254 0.0000  0.68
Ni11 0.8254 0.3254 0.5000  0.68
Ni12 0.1746 0.6746 0.5000  0.68
Ni13 0.8254 0.8254 0.7500  0.68
Ni14 0.1746 0.1746 0.7500  0.68
Ni15 0.1746 0.8254 0.2500  0.68
Ni16 0.8254 0.1746 0.2500  0.68

Q: final energy of number 2 (Ni)?
A: -5.368 eV per atom

Q: Which of these has the highest magnetic moment?
A: number 2

Q: Among the records above, which one has the lowest energy of formation?
A: number 3